[1]
Here is TlInTc2Os after structural relaxation from the Alexandria database. Energies are from PBE.

Unit cell a=5.0288 b=5.0766 c=5.0288 alpha=90.00 beta=90.00 gamma=90.00
Closest atoms and distances in Å follow each position.
Fractional positions:
Tl1 0.0000 0.0000 0.0000  4 Tc 2.51, 2 In 2.54
Tc1 0.0000 0.0000 0.5000  2 Tl 2.51
Tc2 0.5000 0.0000 0.0000  2 Tl 2.51
In1 0.0000 0.5000 0.0000  2 Tl 2.54
Os1 0.5000 0.5000 0.5000  4 In 3.56, 8 Tc 3.57

Computed properties:
Size of the total moment: 6.81 μB/f.u.
Crystal system: tetragonal
SG: No. 123
Energy of formation from the pure elements: 2.830 eV/atom

---

[2]
Here is Rb2TcH after structural relaxation from the Alexandria database. Energies are from PBE.

Unit cell a=5.9636 b=5.9636 c=5.9636 alpha=60.00 beta=60.00 gamma=60.00
Closest atoms and distances in Å follow each position.
Fractional positions:
H1 0.0000 0.0000 0.0000  8 Rb 3.65
Rb1 0.2500 0.2500 0.2500  4 Tc 3.65, 4 H 3.65
Tc1 0.5000 0.5000 0.5000  8 Rb 3.65
Rb2 0.7500 0.7500 0.7500  4 H 3.65, 4 Tc 3.65

Computed properties:
Size of the total moment: 4.00 μB/f.u.
Crystal system: cubic
SG: No. 225
Energy above the most stable polymorph in this dataset: 553 meV/atom

---

[3]
Here is CuBi3Pb after structural relaxation from the Alexandria database. Energies are from PBE.

Unit cell a=5.3474 b=5.3474 c=5.3474 alpha=90.00 beta=90.00 gamma=90.00
Closest atoms and distances in Å follow each position.
Fractional positions:
Cu1 0.0000 0.0000 0.0000  6 Bi 2.67
Bi1 0.0000 0.0000 0.5000  2 Cu 2.67
Bi2 0.0000 0.5000 0.0000  2 Cu 2.67
Pb1 0.5000 0.5000 0.5000  12 Bi 3.78
Bi3 0.5000 0.0000 0.0000  2 Cu 2.67

Computed properties:
Size of the total moment: 0.00 μB/f.u.
Crystal system: cubic
SG: No. 221
Energy of formation from the pure elements: 0.313 eV/atom
Energy above the most stable polymorph in this dataset: 0 meV/atom

---

[4]
Here is TaTc2As after structural relaxation from the Alexandria database. Energies are from PBE.

Unit cell a=5.2099 b=5.2099 c=5.2099 alpha=144.20 beta=131.54 gamma=61.69
Closest atoms and distances in Å follow each position.
Fractional positions:
Tc1 0.9998 0.9998 0.0000  4 As 2.67, 2 Ta 2.78, 2 Tc 2.82
Tc2 0.7399 0.2399 0.5000  2 As 2.63, 4 Ta 2.67, 2 Tc 2.82
Ta1 0.2537 0.7537 0.5000  6 Tc 2.67-2.78, 2 As 2.77
As1 0.5066 0.5066 0.0000  6 Tc 2.63-2.67, 2 Ta 2.77

Computed properties:
Size of the total moment: 0.00 μB/f.u.
Crystal system: orthorhombic
SG: No. 44
Energy of formation from the pure elements: -0.122 eV/atom

---

[5]
Here is BiHO2 after structural relaxation from the Alexandria database. Energies are from PBE.

Unit cell a=3.7455 b=4.4207 c=7.0156 alpha=90.00 beta=105.48 gamma=90.00
Closest atoms and distances in Å follow each position.
Fractional positions:
O1 0.2650 0.8896 0.5299  3 Bi 2.17-2.37
O2 0.7350 0.3896 0.4701  3 Bi 2.17-2.37
O3 0.0597 0.6494 0.1194  1 H 1.00
H1 0.0253 0.4488 0.0507  1 O 1.00
H2 0.9747 0.9488 0.9493  1 O 1.00
O4 0.9403 0.1494 0.8806  1 H 1.00
Bi1 0.6595 0.8228 0.3189  3 O 2.17-2.37
Bi2 0.3405 0.3228 0.6811  3 O 2.17-2.37

Computed properties:
Size of the total moment: 0.00 μB/f.u.
Crystal system: orthorhombic
SG: No. 36
Energy above the most stable polymorph in this dataset: 0 meV/atom

---

[6]
Here is Dy2ZrGa3 after structural relaxation from the Alexandria database. Energies are from PBE.

Unit cell a=3.4593 b=5.7722 c=7.8468 alpha=111.58 beta=102.73 gamma=90.00
Closest atoms and distances in Å follow each position.
Fractional positions:
Ga1 0.3433 0.3433 0.6866  2 Zr 2.82, 4 Dy 2.89-2.99
Dy1 0.6714 0.1714 0.3429  6 Ga 2.89-2.99
Zr1 0.0000 0.5000 0.0000  6 Ga 2.82-2.89
Ga2 0.0000 0.0000 0.0000  2 Zr 2.89, 4 Dy 2.98
Dy2 0.3286 0.8286 0.6571  6 Ga 2.89-2.99
Ga3 0.6567 0.6567 0.3134  2 Zr 2.82, 4 Dy 2.89-2.99

Computed properties:
Size of the total moment: 0.00 μB/f.u.
Crystal system: orthorhombic
SG: No. 71
Energy of formation from the pure elements: -0.339 eV/atom

---

Q: size of the total moment of number 4 (TaTc2As)?
A: 0.00 μB/f.u.